[1]
Density functional theory data (PBE-GGA) for a geometry-optimized Sm6HgPd5 structure.

## Properties
distance to the lowest polymorph of the same formula: 0.000 eV/atom
formation energy: -0.722 eV per atom

a b c (Å): 5.116 7.257 8.069
angles (deg): 90.00 108.52 90.00
Space group P2/m (No. 10)
One atom of each set of equivalent atoms:
1 Sm 0.000 0.240 0.000 x2
2 Sm 0.329 0.247 0.658 x4
3 Hg 0.500 0.500 0.000 x1
4 Pd 0.159 0.500 0.320 x2
5 Pd 0.164 0.000 0.331 x2
6 Pd 0.500 0.000 0.000 x1

[2]
Density functional theory data (PBE-GGA) for a geometry-optimized Fe2ReMo structure.

## Properties
formation energy: 0.069 eV per atom

a b c (Å): 2.599 4.261 4.988
angles (deg): 90.00 99.06 90.00
Space group Pm (No. 6)
One atom of each set of equivalent atoms:
1 Fe 0.000 0.000 0.000 x1
2 Fe 0.207 0.500 0.766 x1
3 Re 0.486 0.000 0.521 x1
4 Mo 0.721 0.500 0.252 x1

[3]
Density functional theory data (PBE-GGA) for a geometry-optimized IrAuSe2 structure.

## Properties
formation energy without anion corrections: 125 kJ/mol of formula units

a b c (Å): 3.772 3.772 5.340
angles (deg): 90.00 90.00 90.00
Space group P4/mmm (No. 123)
One atom of each set of equivalent atoms:
1 Ir 0.000 0.000 0.000 x1
2 Au 0.500 0.500 0.500 x1
3 Se 0.000 0.000 0.500 x1
4 Se 0.500 0.500 0.000 x1

[4]
Density functional theory data (PBE-GGA) for a geometry-optimized Mn2CrAg structure.

## Properties
distance to the lowest polymorph of the same formula: 0.104 eV/atom
formation energy: 0.348 eV per atom

a b c (Å): 5.636 7.065 2.964
angles (deg): 90.00 90.00 90.00
Space group Cmmm (No. 65)
One atom of each set of equivalent atoms:
1 Mn 0.250 0.250 0.000 x4
2 Cr 0.000 0.000 0.500 x2
3 Ag 0.000 0.500 0.500 x2

[5]
Density functional theory data (PBE-GGA) for a geometry-optimized Ti3BeV structure.

## Properties
distance to the lowest polymorph of the same formula: 0.344 eV/atom
formation energy: 0.948 eV per atom

a b c (Å): 4.499 4.499 4.499
angles (deg): 90.00 90.00 90.00
Space group Pm-3m (No. 221)
One atom of each set of equivalent atoms:
1 Ti 0.000 0.000 0.500 x3
2 Be 0.500 0.500 0.500 x1
3 V 0.000 0.000 0.000 x1

[6]
Density functional theory data (PBE-GGA) for a geometry-optimized Cs2PuThS4 structure.

## Properties
formation energy without anion corrections: -1263 kJ/mol of formula units

a b c (Å): 7.276 4.221 8.450
angles (deg): 90.00 106.80 90.00
Space group P2/m (No. 10)
One atom of each set of equivalent atoms:
1 Cs 0.000 0.000 0.000 x1
2 Cs 0.500 0.500 0.000 x1
3 Pu 0.000 0.500 0.500 x1
4 Th 0.500 0.000 0.500 x1
5 S 0.232 0.000 0.682 x2
6 S 0.276 0.500 0.314 x2

no.,total magnetization (μB/f.u.)
1,0.00
2,4.54
3,0.00
4,3.73
5,0.00
6,5.95